Record 1
Compound: LiMg6FeO8
Source: Alexandria
Functional: PBE+U
Structure: optimized geometry

It has space group P4/mmm (No. 123), with a = 4.2367 Å, b = 4.2367 Å, c = 8.5598 Å, α = 90.00°, β = 90.00° and γ = 90.00°. The asymmetric unit holds Li at (0.0000, 0.0000, 0.0000), Mg at (0.0000, 0.5000, 0.2366), Mg at (0.5000, 0.5000, 0.0000), Mg at (0.5000, 0.5000, 0.5000), Fe at (0.0000, 0.0000, 0.5000), O at (0.0000, 0.0000, 0.2691), O at (0.0000, 0.5000, 0.0000), O at (0.0000, 0.5000, 0.5000) and O at (0.5000, 0.5000, 0.2537).

The calculation puts the final energy at -5.98 eV/atom. As for the total magnetization: 5.00 μB per formula unit.



Record 2
Compound: LiMg2Fe3O6
Source: Alexandria
Functional: PBE+U
Structure: optimized geometry

It has space group C2/m (No. 12), with a = 13.1451 Å, b = 3.0095 Å, c = 6.0864 Å, α = 90.00°, β = 103.49° and γ = 90.00°. The asymmetric unit holds Li at (0.0000, 0.0000, 0.0000), Mg at (0.1622, 0.5000, 0.3277), Fe at (0.0000, 0.0000, 0.5000), Fe at (0.1610, 0.5000, 0.8321), O at (0.0021, 0.5000, 0.7516), O at (0.1711, 0.0000, 0.5826) and O at (0.1730, 0.0000, 0.0888).

The calculation puts the final energy at -6.22 eV/atom. As for the total magnetization: 13.00 μB per formula unit.